Nd2Ga6Ni: relaxed, PBE.

Geometry as CIF:
```
data_Nd2Ga6Ni
_cell_length_a 6.253
_cell_length_b 6.253
_cell_length_c 6.253
_cell_angle_alpha 60.00
_cell_angle_beta 60.00
_cell_angle_gamma 60.00
_symmetry_space_group_name_H-M 'P 1'
_symmetry_Int_Tables_number 1
_symmetry_space_group_name_Hall 'P 1'
loop_
_atom_site_label
_atom_site_type_symbol
_atom_site_fract_x
_atom_site_fract_y
_atom_site_fract_z
Nd1 Nd 0.750 0.750 0.750
Ga1 Ga 0.722 0.722 0.278
Nd2 Nd 0.250 0.250 0.250
Ga2 Ga 0.722 0.278 0.722
Ga3 Ga 0.278 0.722 0.278
Ga4 Ga 0.278 0.278 0.722
Ga5 Ga 0.278 0.722 0.722
Ni1 Ni 0.000 0.000 0.000
Ga6 Ga 0.722 0.278 0.278
```

Output
**Formation energy**: -586 meV per atom
**Theoretical density**: 7.35 g cm⁻³
**ΔE to the lowest computed polymorph**: 0.000 eV/atom
**Magnetization**: 0.0 μB/f.u.